# 1
Material: CaYZnNi
Method: DFT, GGA-PBE
State: relaxed

a = 4.949 Å, b = 4.949 Å, c = 4.949 Å
α = 60.00°, β = 60.00°, γ = 60.00°
Fractional coordinates of all 4 atoms:
Y (0.750, 0.750, 0.750)
Ni (0.500, 0.500, 0.500)
Zn (0.000, 0.000, 0.000)
Ca (0.250, 0.250, 0.250)

Properties
VASP energy: -4.088 eV per atom
Fermi-level density of states: 0.863 states/eV/atom
SG: F-43m, No. 216
energy of formation from the pure elements: -208 meV per atom
crystal system: cubic

# 2
Material: Ca3Zn7Ni2
Method: DFT, GGA-PBE
State: relaxed

a = 5.424 Å, b = 5.424 Å, c = 9.101 Å
α = 72.66°, β = 72.66°, γ = 60.00°
Fractional coordinates of all 12 atoms:
Ca (0.000, 0.000, 0.000)
Ca (0.856, 0.856, 0.431)
Ca (0.144, 0.144, 0.569)
Zn (0.500, 0.500, 0.500)
Zn (0.922, 0.424, 0.229)
Zn (0.424, 0.922, 0.229)
Zn (0.424, 0.424, 0.229)
Zn (0.078, 0.576, 0.771)
Zn (0.576, 0.576, 0.771)
Zn (0.576, 0.078, 0.771)
Ni (0.667, 0.667, 0.998)
Ni (0.333, 0.333, 0.002)

Properties
VASP energy: -2.464 eV per atom
Fermi-level density of states: 0.486 states/eV/atom
SG: R-3m, No. 166
energy of formation from the pure elements: -257 meV per atom
crystal system: trigonal

# 3
Material: Ca4ZnNi3
Method: DFT, GGA-PBE
State: relaxed

a = 4.250 Å, b = 4.130 Å, c = 10.554 Å
α = 90.00°, β = 90.00°, γ = 90.00°
Fractional coordinates of all 8 atoms:
Ni (0.000, 0.500, 0.551)
Ni (0.000, 0.000, 0.452)
Ni (0.500, 0.000, 0.940)
Ca (0.500, 0.500, 0.368)
Ca (0.000, 0.500, 0.846)
Ca (0.000, 0.000, 0.145)
Ca (0.500, 0.000, 0.641)
Zn (0.500, 0.500, 0.056)

Properties
VASP energy: -3.500 eV per atom
Fermi-level density of states: 0.565 states/eV/atom
SG: Pmm2, No. 25
energy of formation from the pure elements: -172 meV per atom
crystal system: orthorhombic

# 4
Material: Ca3Zn2Ni
Method: DFT, GGA-PBE
State: relaxed

a = 9.890 Å, b = 9.888 Å, c = 5.786 Å
α = 90.00°, β = 90.00°, γ = 120.01°
Fractional coordinates of all 18 atoms:
Ni (0.000, 0.000, 0.500)
Ni (0.667, 0.334, 0.000)
Ni (0.333, 0.666, 0.000)
Zn (0.292, 0.146, 0.500)
Zn (0.854, 0.146, 0.500)
Zn (0.854, 0.708, 0.500)
Zn (0.708, 0.854, 0.500)
Zn (0.146, 0.854, 0.500)
Zn (0.146, 0.292, 0.500)
Ca (0.000, 0.500, 0.500)
Ca (0.500, 0.500, 0.500)
Ca (0.500, 0.000, 0.500)
Ca (0.000, 0.675, 0.000)
Ca (0.325, 0.325, 0.000)
Ca (0.675, 0.000, 0.000)
Ca (0.000, 0.325, 0.000)
Ca (0.675, 0.675, 0.000)
Ca (0.325, 0.000, 0.000)

Properties
VASP energy: -2.152 eV per atom
Fermi-level density of states: 0.500 states/eV/atom
SG: P6/mmm, No. 191
energy of formation from the pure elements: 237 meV per atom
crystal system: hexagonal

# 5
Material: CaZnNi
Method: DFT, GGA-PBE
State: relaxed

a = 5.551 Å, b = 5.551 Å, c = 3.332 Å
α = 72.53°, β = 72.53°, γ = 34.93°
Fractional coordinates of all 3 atoms:
Ni (0.295, 0.295, 0.705)
Zn (0.709, 0.709, 0.291)
Ca (0.996, 0.996, 0.004)

Properties
VASP energy: -3.145 eV per atom
Fermi-level density of states: 0.748 states/eV/atom
SG: I4mm, No. 107
energy of formation from the pure elements: -126 meV per atom
crystal system: tetragonal

# 6
Material: CaZnNi
Method: DFT, GGA-PBE
State: relaxed

a = 4.173 Å, b = 4.173 Å, c = 4.005 Å
α = 90.00°, β = 90.00°, γ = 120.00°
Fractional coordinates of all 3 atoms:
Ni (0.667, 0.333, 0.500)
Zn (0.333, 0.667, 0.500)
Ca (0.000, 0.000, 0.000)

Properties
VASP energy: -3.231 eV per atom
Fermi-level density of states: 0.368 states/eV/atom
SG: P-6m2, No. 187
energy of formation from the pure elements: -212 meV per atom
crystal system: hexagonal